No. 1
The following is a DFT calculation (PBE-GGA) of a geometry-optimized TbZr2 structure.

a = 3.3273 Å, b = 3.3263 Å, c = 8.2676 Å
α = 78.36°, β = 78.35°, γ = 60.18°
Closest atoms and distances in Å follow each position.
Atoms (fractional coordinates):
Tb: 0.2817 0.0253 0.5530  6 Tb 3.33-3.34, 6 Zr 3.39-3.40
Zr: 0.5016 0.2448 0.9002  9 Zr 3.11-3.34, 3 Tb 3.39-3.40
Zr: 0.0613 0.8063 0.2057  9 Zr 3.11-3.34, 3 Tb 3.39-3.40

Symmetry   No. 12
Volume   25.7 Å³ per atom
VASP energy   -21.44 eV per formula unit
Magnetization   0.000 μB per formula unit



No. 2
The following is a DFT calculation (PBE-GGA) of a geometry-optimized RbSmO2 structure.

a = 3.5973 Å, b = 3.5973 Å, c = 7.0134 Å
α = 75.14°, β = 75.14°, γ = 60.00°
Closest atoms and distances in Å follow each position.
Atoms (fractional coordinates):
Rb: 0.4968 0.4968 0.5097  6 O 2.93-3.06
Sm: 0.6669 0.6669 0.9994  6 O 2.38-2.41
O: 0.0608 0.0608 0.8175  3 Sm 2.41
O: 0.2755 0.2755 0.1735  3 Sm 2.38

Symmetry   No. 160
Energy relative to the elements, uncorrected   -2573 meV/atom
Volume   18.8 Å³ per atom
VASP energy   -25.90 eV per formula unit
Magnetization   0.000 μB per formula unit



No. 3
The following is a DFT calculation (PBE-GGA) of a geometry-optimized Rb2TbTe2S6 structure.

a = 7.5451 Å, b = 6.6874 Å, c = 8.9480 Å
α = 106.34°, β = 90.00°, γ = 124.34°
Closest atoms and distances in Å follow each position.
Atoms (fractional coordinates):
Rb: 0.6939 0.3877 0.1230  7 S 3.28-3.53
Rb: 0.3061 0.6123 0.8770  7 S 3.28-3.53
Tb: 0.5000 0.0000 0.5000  6 S 2.77-2.79
Te: 0.9185 0.8370 0.7539  3 S 2.34-2.50
Te: 0.0815 0.1630 0.2461  3 S 2.34-2.50
S: 0.7527 0.5054 0.5076  1 Te 2.34
S: 0.2370 0.9150 0.2372  1 Te 2.50, 1 Tb 2.79
S: 0.3220 0.0850 0.7628  1 Te 2.50, 1 Tb 2.79
S: 0.7630 0.0850 0.7628  1 Te 2.50, 1 Tb 2.79
S: 0.6780 0.9150 0.2372  1 Te 2.50, 1 Tb 2.79
S: 0.2473 0.4946 0.4924  1 Te 2.34

Symmetry   No. 12
Energy relative to the elements, uncorrected   -734 meV/atom
Volume   31.9 Å³ per atom
VASP energy   -45.69 eV per formula unit
Magnetization   0.000 μB per formula unit



No. 4
The following is a DFT calculation (PBE-GGA) of a geometry-optimized GdTlFe4 structure.

a = 5.1153 Å, b = 5.1153 Å, c = 5.1153 Å
α = 60.00°, β = 60.00°, γ = 60.00°
Closest atoms and distances in Å follow each position.
Atoms (fractional coordinates):
Tl: 0.0000 0.0000 0.0000  12 Fe 3.00, 4 Gd 3.13
Gd: 0.2500 0.2500 0.2500  12 Fe 3.00, 4 Tl 3.13
Fe: 0.6244 0.6244 0.1269  6 Fe 2.54-2.57
Fe: 0.6244 0.1269 0.6244  6 Fe 2.54-2.57
Fe: 0.6244 0.6244 0.6244  6 Fe 2.54-2.57
Fe: 0.1269 0.6244 0.6244  6 Fe 2.54-2.57

Symmetry   No. 216
Volume   15.8 Å³ per atom
VASP energy   -49.63 eV per formula unit
Magnetization   15.275 μB per formula unit